(1)
The following is a PBE calculation of a relaxed BeAgP2 crystal, from Alexandria via LeMat-Bulk.

Calculated values
D(E_F): 0.365 states/eV per atom
calculated total energy: -3.8900 eV per atom
total magnetization: 0.00 μB/cell

Cell lengths 4.8341, 9.6992, 3.4049 Å; angles 90.00, 132.47, 90.00 degrees
Space group C2/m (No. 12)
Unique sites:
Be: 0.0000 0.0000 0.0000 (multiplicity 2)
Ag: 0.0000 0.5000 0.0000 (multiplicity 2)
P: 0.2500 0.2500 0.0000 (multiplicity 4)

---

(2)
The following is a PBE calculation of a relaxed Be3AgP crystal, from Alexandria via LeMat-Bulk.

Calculated values
D(E_F): 0.446 states/eV per atom
ΔE to the lowest computed polymorph: 2.28 eV per formula unit
total magnetization: 0.00 μB/cell

Cell lengths 4.2983, 4.2983, 4.2983 Å; angles 90.00, 90.00, 90.00 degrees
Space group Pm-3m (No. 221)
Unique sites:
Be: 0.0000 0.0000 0.5000 (multiplicity 3)
Ag: 0.0000 0.0000 0.0000 (multiplicity 1)
P: 0.5000 0.5000 0.5000 (multiplicity 1)

---

(3)
The following is a PBE calculation of a relaxed BeAgP2 crystal, from Alexandria via LeMat-Bulk.

Calculated values
D(E_F): 0.408 states/eV per atom
calculated total energy: -3.9398 eV per atom
total magnetization: 0.00 μB/cell

Cell lengths 2.7930, 4.1583, 10.7464 Å; angles 90.00, 90.00, 90.00 degrees
Space group Immm (No. 71)
Unique sites:
Be: 0.0000 0.0000 0.0000 (multiplicity 2)
Ag: 0.0000 0.0000 0.5000 (multiplicity 2)
P: 0.0000 0.5000 0.3360 (multiplicity 4)

---

(4)
The following is a PBE calculation of a relaxed BeAgP2 crystal, from Alexandria via LeMat-Bulk.

Calculated values
D(E_F): 0.417 states/eV per atom
calculated total energy: -3.7056 eV per atom
total magnetization: 0.00 μB/cell

Cell lengths 4.0386, 4.0386, 7.3030 Å; angles 90.00, 90.00, 90.00 degrees
Space group I4/mmm (No. 139)
Unique sites:
Be: 0.0000 0.0000 0.0000 (multiplicity 2)
Ag: 0.0000 0.0000 0.5000 (multiplicity 2)
P: 0.0000 0.5000 0.2500 (multiplicity 4)

---

(5)
The following is a PBE calculation of a relaxed BeAgP2 crystal, from Alexandria via LeMat-Bulk.

Calculated values
D(E_F): 0.351 states/eV per atom
calculated total energy: -3.7140 eV per atom
total magnetization: 0.00 μB/cell

Cell lengths 3.6626, 3.6626, 8.9697 Å; angles 90.00, 90.00, 90.00 degrees
Space group I-4m2 (No. 119)
Unique sites:
Be: 0.0000 0.0000 0.0000 (multiplicity 2)
Ag: 0.0000 0.5000 0.2500 (multiplicity 2)
P: 0.0000 0.0000 0.5000 (multiplicity 2)
P: 0.0000 0.5000 0.7500 (multiplicity 2)

---

(6)
The following is a PBE calculation of a relaxed BeAgP crystal, from Alexandria via LeMat-Bulk.

Calculated values
D(E_F): 0.020 states/eV per atom
calculated total energy: -3.9644 eV per atom
total magnetization: 0.00 μB/cell

Cell lengths 3.6405, 3.6405, 4.0224 Å; angles 90.00, 90.00, 120.00 degrees
Space group P-6m2 (No. 187)
Unique sites:
Be: 0.0000 0.0000 0.0000 (multiplicity 1)
Ag: 0.3333 0.6667 0.5000 (multiplicity 1)
P: 0.6667 0.3333 0.0000 (multiplicity 1)

---

(7)
The following is a PBE calculation of a relaxed BeAgP crystal, from Alexandria via LeMat-Bulk.

Calculated values
D(E_F): 0.000 states/eV per atom
calculated total energy: -4.0678 eV per atom
total magnetization: 0.00 μB/cell

Cell lengths 3.6988, 6.3059, 4.5745 Å; angles 90.00, 111.64, 90.00 degrees
Space group P2_1 (No. 4)
Unique sites:
Be: 0.2377 0.0000 0.4768 (multiplicity 2)
Ag: 0.0104 0.8269 0.9150 (multiplicity 2)
P: 0.2319 0.6612 0.4507 (multiplicity 2)

---

(8)
The following is a PBE calculation of a relaxed BeAgP crystal, from Alexandria via LeMat-Bulk.

Calculated values
D(E_F): 0.313 states/eV per atom
calculated total energy: -3.6847 eV per atom
total magnetization: 0.00 μB/cell

Cell lengths 2.9018, 2.9018, 5.8373 Å; angles 90.00, 90.00, 120.00 degrees
Space group P3m1 (No. 156)
Unique sites:
Be: 0.0000 0.0000 0.0000 (multiplicity 1)
Ag: 0.3333 0.6667 0.6696 (multiplicity 1)
P: 0.6667 0.3333 0.2573 (multiplicity 1)

---

(9)
The following is a PBE calculation of a relaxed BeAgP3 crystal, from Alexandria via LeMat-Bulk.

Calculated values
D(E_F): 0.791 states/eV per atom
ΔE to the lowest computed polymorph: 4.56 eV per formula unit
total magnetization: 0.00 μB/cell

Cell lengths 4.7813, 4.7813, 4.7813 Å; angles 90.00, 90.00, 90.00 degrees
Space group Pm-3m (No. 221)
Unique sites:
Be: 0.0000 0.0000 0.0000 (multiplicity 1)
Ag: 0.5000 0.5000 0.5000 (multiplicity 1)
P: 0.0000 0.5000 0.5000 (multiplicity 3)

---

(10)
The following is a PBE calculation of a relaxed BeAgP2 crystal, from Alexandria via LeMat-Bulk.

Calculated values
D(E_F): 0.567 states/eV per atom
calculated total energy: -3.6918 eV per atom
total magnetization: 0.00 μB/cell

Cell lengths 4.0927, 4.0927, 3.5746 Å; angles 90.00, 90.00, 90.00 degrees
Space group P4/mmm (No. 123)
Unique sites:
Be: 0.0000 0.0000 0.0000 (multiplicity 1)
Ag: 0.5000 0.5000 0.0000 (multiplicity 1)
P: 0.0000 0.5000 0.5000 (multiplicity 2)

---

(11)
The following is a PBE calculation of a relaxed BeAg2P crystal, from Alexandria via LeMat-Bulk.

Calculated values
D(E_F): 0.370 states/eV per atom
ΔE to the lowest computed polymorph: 0.92 eV per formula unit
total magnetization: 0.00 μB/cell

Cell lengths 3.9226, 3.9226, 16.9752 Å; angles 90.00, 90.00, 90.00 degrees
Space group I-42d (No. 122)
Unique sites:
Be: 0.0000 0.0000 0.0000 (multiplicity 4)
Ag: 0.2465 0.2500 0.1250 (multiplicity 8)
P: 0.0000 0.0000 0.5000 (multiplicity 4)

---

(12)
The following is a PBE calculation of a relaxed BeAgP crystal, from Alexandria via LeMat-Bulk.

Calculated values
D(E_F): 0.000 states/eV per atom
calculated total energy: -4.0607 eV per atom
total magnetization: 0.00 μB/cell

Cell lengths 8.5266, 3.6836, 6.3864 Å; angles 90.00, 90.00, 90.00 degrees
Space group Pnma (No. 62)
Unique sites:
Be: 0.2370 0.2500 0.2222 (multiplicity 4)
Ag: 0.0180 0.2500 0.8110 (multiplicity 4)
P: 0.2431 0.2500 0.5558 (multiplicity 4)